DFT (PBE) results for a geometry-optimized CaCuAs structure.

Geometry as POSCAR:
```
CaCuAs
1.0
-3.704 2.988 1.548
-0.433 -4.964 0.457
4.783 0.540 10.403
Cu As Ca
2 2 2
Direct
0.667 0.333 0.750
0.333 0.667 0.250
0.000 0.000 0.500
0.000 0.000 0.000
0.000 0.000 0.750
0.000 0.000 0.250
```

Computed properties:
DFT formation energy: 0.88 eV/atom
Total magnetization: 0.653 μB per atom
Raw total energy: -0.099 hartree per atom

=====

DFT (PBE) results for a geometry-optimized CaCuAs2 structure.

Geometry as POSCAR:
```
CaCuAs2
1.0
6.440 -0.116 -0.071
5.264 3.713 -0.071
5.264 1.618 3.342
As Ca Cu
2 1 1
Direct
0.272 0.272 0.272
0.061 0.061 0.061
0.494 0.494 0.494
0.672 0.672 0.672
```

Computed properties:
DFT formation energy: -0.32 eV/atom
Total magnetization: 0.000 μB per atom
Raw total energy: -0.153 hartree per atom

=====

DFT (PBE) results for a geometry-optimized CaCuAs structure.

Geometry as POSCAR:
```
CaCuAs
1.0
4.182 -0.001 0.000
0.002 6.786 0.001
0.000 -0.002 4.182
As Cu Ca
2 2 2
Direct
0.299 0.378 0.638
0.799 0.828 0.139
0.799 0.604 0.638
0.298 0.604 0.137
0.299 0.921 0.638
0.799 0.285 0.138
```

Computed properties:
DFT formation energy: -0.74 eV/atom
Total magnetization: 0.000 μB per atom
Raw total energy: -0.159 hartree per atom

=====

DFT (PBE) results for a geometry-optimized CaCuAs2 structure.

Geometry as POSCAR:
```
CaCuAs2
1.0
5.800 0.049 -0.813
4.399 3.781 -0.813
0.618 0.232 4.427
As Cu Ca
2 1 1
Direct
0.053 0.053 0.000
0.293 0.293 0.000
0.679 0.679 0.000
0.475 0.475 0.500
```

Computed properties:
DFT formation energy: -0.40 eV/atom
Total magnetization: 0.000 μB per atom
Raw total energy: -0.156 hartree per atom

=====

DFT (PBE) results for a geometry-optimized CaCuAs structure.

Geometry as POSCAR:
```
CaCuAs
1.0
-2.906 2.477 -1.538
-3.918 -0.774 6.156
1.935 3.292 1.645
As Cu Ca
2 2 2
Direct
0.483 0.508 0.011
0.484 0.865 0.011
0.483 0.021 0.511
0.484 0.353 0.511
0.983 0.187 0.011
0.983 0.687 0.511
```

Computed properties:
DFT formation energy: -0.62 eV/atom
Total magnetization: 0.000 μB per atom
Raw total energy: -0.154 hartree per atom

=====

DFT (PBE) results for a geometry-optimized CaCuAs structure.

Geometry as POSCAR:
```
CaCuAs
1.0
5.743 -0.042 0.039
4.371 3.314 0.049
1.372 -0.310 3.343
Cu As Ca
1 1 1
Direct
0.629 0.629 0.371
0.035 0.035 0.965
0.337 0.337 0.663
```

Computed properties:
DFT formation energy: -0.26 eV/atom
Total magnetization: 0.000 μB per atom
Raw total energy: -0.141 hartree per atom

=====

DFT (PBE) results for a geometry-optimized CaCuAs2 structure.

Geometry as POSCAR:
```
CaCuAs2
1.0
-3.149 1.921 0.953
1.308 -2.133 2.873
3.574 4.872 1.990
As Ca Cu
2 1 1
Direct
0.000 0.000 0.551
0.000 0.000 0.949
0.500 0.500 0.250
0.500 0.500 0.750
```

Computed properties:
DFT formation energy: -0.27 eV/atom
Total magnetization: 0.000 μB per atom
Raw total energy: -0.151 hartree per atom

=====

DFT (PBE) results for a geometry-optimized CaCuAs structure.

Geometry as POSCAR:
```
CaCuAs
1.0
4.159 -0.001 0.000
-2.079 7.876 0.007
0.005 -0.077 4.184
As Cu Ca
2 2 2
Direct
0.880 0.419 0.893
0.115 0.890 0.387
0.035 0.727 0.880
0.611 0.880 0.116
0.444 0.548 0.406
0.248 0.157 0.885
```

Computed properties:
DFT formation energy: -0.58 eV/atom
Total magnetization: 0.000 μB per atom
Raw total energy: -0.153 hartree per atom

=====

DFT (PBE) results for a geometry-optimized CaCu6As4 structure.

Geometry as POSCAR:
```
CaCu6As4
1.0
4.061 0.000 -0.592
-0.086 4.060 -0.592
-0.426 -0.435 11.298
As Cu Ca
4 6 1
Direct
0.814 0.814 0.628
0.559 0.559 0.117
0.441 0.441 0.883
0.186 0.186 0.372
0.379 0.879 0.759
0.879 0.379 0.759
0.250 0.750 0.500
0.621 0.121 0.241
0.750 0.250 0.500
0.121 0.621 0.241
0.000 0.000 0.000
```

Computed properties:
DFT formation energy: -0.21 eV/atom
Total magnetization: 0.000 μB per atom
Raw total energy: -0.159 hartree per atom

=====

DFT (PBE) results for a geometry-optimized Ca3CuAs structure.

Geometry as POSCAR:
```
Ca3CuAs
1.0
-3.663 2.131 -3.614
-3.743 -3.826 1.538
-1.894 3.441 3.949
As Ca Cu
1 3 1
Direct
0.000 0.000 0.000
0.500 0.000 0.000
0.000 0.500 0.000
0.000 0.000 0.500
0.500 0.500 0.500
```

Computed properties:
DFT formation energy: -0.26 eV/atom
Total magnetization: 0.000 μB per atom
Raw total energy: -0.118 hartree per atom

=====

DFT (PBE) results for a geometry-optimized CaCuAs structure.

Geometry as POSCAR:
```
CaCuAs
1.0
4.199 -2.424 0.000
0.000 4.849 0.000
0.000 0.000 5.759
Cu As Ca
2 2 2
Direct
0.000 0.000 0.500
0.000 0.000 0.000
0.333 0.667 0.750
0.667 0.333 0.250
0.333 0.667 0.250
0.667 0.333 0.750
```

Computed properties:
DFT formation energy: -0.36 eV/atom
Total magnetization: 0.000 μB per atom
Raw total energy: -0.145 hartree per atom

=====

DFT (PBE) results for a geometry-optimized CaCuAs2 structure.

Geometry as POSCAR:
```
CaCuAs2
1.0
4.981 -0.051 0.004
-0.298 4.972 -0.004
-1.426 -3.332 3.417
Ca As Cu
1 2 1
Direct
0.250 0.750 0.500
0.562 0.562 0.000
0.938 0.938 0.000
0.750 0.250 0.500
```

Computed properties:
DFT formation energy: -0.39 eV/atom
Total magnetization: 0.000 μB per atom
Raw total energy: -0.156 hartree per atom

=====

DFT (PBE) results for a geometry-optimized CaCu3As3 structure.

Geometry as POSCAR:
```
CaCu3As3
1.0
-6.114 -0.333 2.622
1.786 -5.392 3.478
1.949 3.895 5.039
Cu As Ca
6 6 2
Direct
0.500 0.000 0.250
0.000 0.750 0.500
0.750 0.500 0.000
0.250 0.500 0.000
0.500 0.000 0.750
0.000 0.250 0.500
0.750 0.000 0.500
0.500 0.250 0.000
0.000 0.500 0.750
0.500 0.750 0.000
0.000 0.500 0.250
0.250 0.000 0.500
0.000 0.000 0.000
0.500 0.500 0.500
```

Computed properties:
DFT formation energy: -0.13 eV/atom
Total magnetization: 0.000 μB per atom
Raw total energy: -0.153 hartree per atom

=====

DFT (PBE) results for a geometry-optimized CaCuAs2 structure.

Geometry as POSCAR:
```
CaCuAs2
1.0
3.349 0.000 0.000
0.000 3.349 0.000
0.000 0.000 8.081
Cu As Ca
1 2 1
Direct
0.500 0.500 0.802
0.000 0.000 0.897
0.500 0.500 0.286
0.000 0.000 0.516
```

Computed properties:
DFT formation energy: -0.06 eV/atom
Total magnetization: 0.000 μB per atom
Raw total energy: -0.143 hartree per atom

=====

DFT (PBE) results for a geometry-optimized CaCuAs structure.

Geometry as POSCAR:
```
CaCuAs
1.0
4.196 0.000 0.000
0.000 7.982 0.001
2.099 0.000 3.635
Cu As Ca
2 2 2
Direct
0.945 0.937 0.221
0.613 0.437 0.888
0.946 0.437 0.221
0.612 0.937 0.888
0.279 0.687 0.555
0.279 0.187 0.555
```

Computed properties:
DFT formation energy: -0.82 eV/atom
Total magnetization: 0.000 μB per atom
Raw total energy: -0.162 hartree per atom

=====

DFT (PBE) results for a geometry-optimized CaCuAs structure.

Geometry as POSCAR:
```
CaCuAs
1.0
4.398 0.000 0.000
0.000 4.398 0.000
0.000 0.000 6.706
Cu As Ca
2 2 2
Direct
0.500 0.000 0.156
0.000 0.500 0.844
0.500 0.000 0.798
0.000 0.500 0.202
0.000 0.000 0.500
0.500 0.500 0.500
```

Computed properties:
DFT formation energy: -0.09 eV/atom
Total magnetization: 0.000 μB per atom
Raw total energy: -0.135 hartree per atom

=====

DFT (PBE) results for a geometry-optimized CaCuAs2 structure.

Geometry as POSCAR:
```
CaCuAs2
1.0
-0.438 1.732 3.456
-3.651 1.595 -1.263
-2.604 -4.474 1.913
As Cu Ca
2 1 1
Direct
0.000 0.751 0.490
0.000 0.749 0.010
0.500 0.750 0.750
0.500 0.250 0.250
```

Computed properties:
DFT formation energy: -0.50 eV/atom
Total magnetization: 0.000 μB per atom
Raw total energy: -0.160 hartree per atom

=====

DFT (PBE) results for a geometry-optimized CaCuAs2 structure.

Geometry as POSCAR:
```
CaCuAs2
1.0
-0.675 0.980 4.845
2.158 -4.484 0.347
2.861 1.386 0.118
Ca Cu As
1 1 2
Direct
0.500 0.000 0.500
0.000 0.500 0.500
0.500 0.500 0.000
0.000 0.000 0.000
```

Computed properties:
DFT formation energy: -0.23 eV/atom
Total magnetization: 0.000 μB per atom
Raw total energy: -0.150 hartree per atom

=====

DFT (PBE) results for a geometry-optimized CaCuAs2 structure.

Geometry as POSCAR:
```
CaCuAs2
1.0
-0.743 -4.400 1.826
1.432 -1.020 4.489
-3.269 -0.643 3.485
Cu Ca As
1 1 2
Direct
0.750 0.750 0.750
0.500 0.500 0.500
0.250 0.250 0.250
0.000 0.000 0.000
```

Computed properties:
DFT formation energy: -0.08 eV/atom
Total magnetization: 0.000 μB per atom
Raw total energy: -0.144 hartree per atom

=====

DFT (PBE) results for a geometry-optimized CaCuAs structure.

Geometry as POSCAR:
```
CaCuAs
1.0
-3.384 0.296 -2.672
-0.606 -1.067 4.155
1.657 7.824 2.257
Cu Ca As
2 2 2
Direct
0.926 0.923 0.854
0.196 0.557 0.760
0.652 0.784 0.445
0.742 0.330 0.078
0.178 0.048 0.234
0.493 0.204 0.707
```

Computed properties:
DFT formation energy: -0.63 eV/atom
Total magnetization: 0.000 μB per atom
Raw total energy: -0.155 hartree per atom

=====

DFT (PBE) results for a geometry-optimized CaCuAs2 structure.

Geometry as POSCAR:
```
CaCuAs2
1.0
0.000 3.402 3.402
3.402 0.000 3.402
3.402 3.402 0.000
As Ca Cu
2 1 1
Direct
0.250 0.250 0.250
0.750 0.750 0.750
0.000 0.000 0.000
0.500 0.500 0.500
```

Computed properties:
DFT formation energy: -0.17 eV/atom
Total magnetization: 0.000 μB per atom
Raw total energy: -0.148 hartree per atom

=====

DFT (PBE) results for a geometry-optimized CaCuAs structure.

Geometry as POSCAR:
```
CaCuAs
1.0
-1.606 1.891 4.074
-1.209 -3.813 2.586
5.492 -0.208 2.262
Ca Cu As
2 2 2
Direct
0.504 0.293 0.180
0.199 0.989 0.680
0.851 0.642 0.930
0.853 0.640 0.430
0.607 0.397 0.680
0.096 0.885 0.180
```

Computed properties:
DFT formation energy: -0.62 eV/atom
Total magnetization: 0.000 μB per atom
Raw total energy: -0.155 hartree per atom

=====

DFT (PBE) results for a geometry-optimized CaCuAs2 structure.

Geometry as POSCAR:
```
CaCuAs2
1.0
4.382 0.001 0.017
2.694 3.456 0.017
1.315 0.642 5.398
Ca As Cu
1 2 1
Direct
0.250 0.250 0.250
0.487 0.487 0.575
0.013 0.013 0.925
0.750 0.750 0.750
```

Computed properties:
DFT formation energy: -0.36 eV/atom
Total magnetization: 0.000 μB per atom
Raw total energy: -0.155 hartree per atom

=====

DFT (PBE) results for a geometry-optimized CaCuAs structure.

Geometry as POSCAR:
```
CaCuAs
1.0
5.607 0.022 0.006
0.053 5.957 0.000
-1.555 -1.457 3.598
Ca As Cu
2 2 2
Direct
0.338 0.800 0.680
0.759 0.407 0.194
0.188 0.363 0.887
0.910 0.843 0.986
0.782 0.020 0.511
0.316 0.187 0.363
```

Computed properties:
DFT formation energy: -0.61 eV/atom
Total magnetization: 0.000 μB per atom
Raw total energy: -0.154 hartree per atom

=====

DFT (PBE) results for a geometry-optimized CaCuAs2 structure.

Geometry as POSCAR:
```
CaCuAs2
1.0
7.397 -0.075 -0.139
-2.586 3.526 0.081
2.225 1.583 2.934
Ca As Cu
1 2 1
Direct
0.000 0.500 0.500
0.000 0.000 0.000
0.500 0.000 0.500
0.500 0.500 0.000
```

Computed properties:
DFT formation energy: -0.30 eV/atom
Total magnetization: 0.000 μB per atom
Raw total energy: -0.152 hartree per atom

=====

DFT (PBE) results for a geometry-optimized Ca3Cu2As3 structure.

Geometry as POSCAR:
```
Ca3Cu2As3
1.0
-2.748 -2.515 1.976
4.570 -3.137 -2.137
7.113 1.940 12.361
As Cu Ca
6 4 6
Direct
0.631 0.262 0.452
0.651 0.302 0.750
0.369 0.738 0.548
0.369 0.738 0.952
0.349 0.698 0.250
0.631 0.262 0.048
0.227 0.454 0.097
0.773 0.546 0.903
0.773 0.546 0.597
0.227 0.454 0.403
0.921 0.841 0.396
0.921 0.841 0.104
0.079 0.159 0.896
0.079 0.159 0.604
0.349 0.699 0.750
0.651 0.301 0.250
```

Computed properties:
DFT formation energy: -0.79 eV/atom
Total magnetization: 0.000 μB per atom
Raw total energy: -0.158 hartree per atom

=====

DFT (PBE) results for a geometry-optimized CaCuAs2 structure.

Geometry as POSCAR:
```
CaCuAs2
1.0
6.314 0.016 0.010
5.013 3.839 0.010
5.013 1.706 3.439
As Cu Ca
2 1 1
Direct
0.023 0.023 0.023
0.477 0.477 0.477
0.750 0.750 0.750
0.250 0.250 0.250
```

Computed properties:
DFT formation energy: -0.31 eV/atom
Total magnetization: 0.000 μB per atom
Raw total energy: -0.153 hartree per atom

=====

DFT (PBE) results for a geometry-optimized CaCuAs structure.

Geometry as POSCAR:
```
CaCuAs
1.0
-1.318 -4.386 -1.813
1.872 -3.572 2.827
-2.623 4.021 1.101
Ca Cu As
1 1 1
Direct
0.334 0.334 0.000
0.685 0.685 0.000
0.981 0.981 0.000
```

Computed properties:
DFT formation energy: -0.30 eV/atom
Total magnetization: 0.000 μB per atom
Raw total energy: -0.143 hartree per atom